(1)
This record from Alexandria via LeMat-Bulk describes an optimized crystal structure of MnTlMoIr2. The functional is PBE.

As for the space-group type: P4/mmm (123). The total energy is -5.373 eV/atom.

Cell: 4.901 4.649 4.901 Å, 90.00 90.00 90.00°
Site moments in Bohr magnetons follow the coordinates.
Sites, in units of the cell vectors:
Mo1 0.500 0.500 0.500  2.73
Ir1 0.500 0.000 0.000  -0.22
Ir2 0.000 0.000 0.500  -0.18
Tl1 0.000 0.000 0.000  -0.02
Mn1 0.000 0.500 0.000  0.20

---

(2)
This record from Alexandria via LeMat-Bulk describes an optimized crystal structure of RhCSe2N. The functional is PBE.

As for the space-group type: P4/mmm (123). The formation energy without anion corrections is 915 meV per atom.

Cell: 5.736 5.736 2.477 Å, 90.00 90.00 90.00°
Sites, in units of the cell vectors:
N1 0.000 0.000 0.500
Se1 0.500 0.000 0.000
Se2 0.000 0.500 0.000
C1 0.000 0.000 0.000
Rh1 0.500 0.500 0.500